This record from Alexandria describes a relaxed DyTaMnC3 crystal. The functional is GGA-PBE.

Structure (CIF):
```
data_DyTaMnC3
_cell_length_a 6.846
_cell_length_b 3.306
_cell_length_c 7.290
_cell_angle_alpha 90.00
_cell_angle_beta 101.20
_cell_angle_gamma 90.00
_space_group_name_H-M_alt 'P 1 21/m 1'
_space_group_IT_number 11
loop_
_space_group_symop_operation_xyz
'x,y,z'
'-x,-y,-z'
'-x,y+1/2,-z'
'x,-y+1/2,z'
loop_
_atom_site_label
_atom_site_fract_x
_atom_site_fract_y
_atom_site_fract_z
Dy1 0.174 0.250 0.193
Ta1 0.356 0.750 0.855
Mn1 0.099 0.250 0.602
C1 0.121 0.250 0.855
C2 0.174 0.750 0.526
C3 0.433 0.750 0.152
```

Summary:
Energy relative to the elements (eV per atom): -0.141
Total moment (μB/atom): 0.000